Entry 1:
# Mn2SbHIr | the Alexandria database | GGA-PBE | optimized geometry
# D(E_F) ... 2.9 states/eV/f.u.
# Total magnetization ... 5.57 μB per cell
# Electronic total energy ... -34.54 eV/cell
data_Mn2SbHIr
_space_group_name_H-M_alt 'P 4/m m m'
_space_group_IT_number 123
_space_group_name_Hall '-P 4 2'
_cell_length_a 3.965
_cell_length_b 3.965
_cell_length_c 3.980
_cell_angle_alpha 90.00
_cell_angle_beta 90.00
_cell_angle_gamma 90.00
loop_
_atom_site_label
_atom_site_fract_x
_atom_site_fract_y
_atom_site_fract_z
_atom_site_occupancy
Mn1 0.000 0.500 0.000 1
Sb1 0.000 0.000 0.500 1
H1 0.500 0.500 0.000 1
Ir1 0.500 0.500 0.500 1



Entry 2:
# ScMnHIr2 | the Alexandria database | GGA-PBE | optimized geometry
# D(E_F) ... 3.3 states/eV/f.u.
# Total magnetization ... 3.77 μB per cell
# Electronic total energy ... -38.56 eV/cell
data_ScMnHIr2
_space_group_name_H-M_alt 'P 4/m m m'
_space_group_IT_number 123
_space_group_name_Hall '-P 4 2'
_cell_length_a 4.102
_cell_length_b 4.102
_cell_length_c 3.785
_cell_angle_alpha 90.00
_cell_angle_beta 90.00
_cell_angle_gamma 90.00
loop_
_atom_site_label
_atom_site_fract_x
_atom_site_fract_y
_atom_site_fract_z
_atom_site_occupancy
Sc1 0.000 0.000 0.000 1
Mn1 0.500 0.500 0.000 1
H1 0.500 0.500 0.500 1
Ir1 0.000 0.500 0.500 1



Entry 3:
# Mn2HIrSe | the Alexandria database | GGA-PBE | optimized geometry
# Excess energy over the best structure of this formula in the dataset ... 115 meV per atom
# D(E_F) ... 2.3 states/eV/f.u.
# Total magnetization ... 15.72 μB per cell
# Electronic total energy ... -67.09 eV/cell
data_Mn2HIrSe
_space_group_name_H-M_alt 'C 1 m 1'
_space_group_IT_number 8
_space_group_name_Hall 'C -2y'
_cell_length_a 6.073
_cell_length_b 3.367
_cell_length_c 7.163
_cell_angle_alpha 90.00
_cell_angle_beta 107.59
_cell_angle_gamma 90.00
loop_
_atom_site_label
_atom_site_fract_x
_atom_site_fract_y
_atom_site_fract_z
_atom_site_occupancy
Mn1 0.000 0.000 0.000 1
Mn2 0.175 0.000 0.488 1
H1 0.194 0.000 0.784 1
Ir1 0.086 0.500 0.738 1
Se1 0.260 0.500 0.252 1



Entry 4:
# Mn2HIrSe | the Alexandria database | GGA-PBE | optimized geometry
# Excess energy over the best structure of this formula in the dataset ... 26 meV per atom
# D(E_F) ... 2.8 states/eV/f.u.
# Total magnetization ... 0.09 μB per cell
# Electronic total energy ... -33.99 eV/cell
data_Mn2HIrSe
_space_group_name_H-M_alt 'P 1'
_space_group_IT_number 1
_space_group_name_Hall 'P 1'
_cell_length_a 3.597
_cell_length_b 3.729
_cell_length_c 5.233
_cell_angle_alpha 90.12
_cell_angle_beta 107.18
_cell_angle_gamma 90.01
loop_
_atom_site_label
_atom_site_fract_x
_atom_site_fract_y
_atom_site_fract_z
_atom_site_occupancy
Mn1 0.000 0.000 0.000 1
Mn2 0.306 0.502 0.662 1
H1 0.250 0.002 0.516 1
Ir1 0.735 0.001 0.480 1
Se1 0.566 0.501 0.143 1